DFT (PBE) results for a relaxed structure of K2MoCl.

Values from the calculation:
The energy relative to the lowest polymorph listed for this composition is 431.7 meV per atom. As for the raw formation energy: 0.65 eV/atom. The size of the total moment is 5.00 μB/f.u.

a = 8.402 Å, b = 8.402 Å, c = 8.402 Å
α = 90.00°, β = 90.00°, γ = 90.00°
Space group F-43m (No. 216)
Inequivalent atoms, fractional coordinates:
K1 0.000 0.000 0.000 (multiplicity 4)
K2 0.250 0.250 0.250 (multiplicity 4)
Mo1 0.250 0.250 0.750 (multiplicity 4)
Cl1 0.000 0.000 0.500 (multiplicity 4)



DFT (PBE) results for a relaxed structure of K6MoCl12.

Values from the calculation:
As for the raw formation energy: -1.44 eV/atom. The size of the total moment is 0.63 μB/f.u.

a = 12.5347 Å, b = 12.5347 Å, c = 16.3583 Å
α = 90.00°, β = 90.00°, γ = 120.00°
Space group R-3 (No. 148, hexagonal axes)
Inequivalent atoms, fractional coordinates:
K1 0.0056 0.2516 0.0945 (multiplicity 18)
Mo1 0.0000 0.0000 0.5000 (multiplicity 3)
Cl1 0.0026 0.2434 0.9055 (multiplicity 18)
Cl2 0.0824 0.9073 0.4183 (multiplicity 18)



DFT (PBE) results for a relaxed structure of K5Mo2Cl12.

Values from the calculation:
As for the raw formation energy: -1.36 eV/atom. The size of the total moment is 5.21 μB/f.u.

a = 17.347 Å, b = 7.554 Å, c = 10.089 Å
α = 90.00°, β = 108.62°, γ = 90.00°
Space group C2/m (No. 12)
Inequivalent atoms, fractional coordinates:
K1 0.000 0.000 0.000 (multiplicity 2)
K2 0.189 0.500 0.316 (multiplicity 4)
K3 0.208 0.500 0.887 (multiplicity 4)
Mo1 0.000 0.250 0.500 (multiplicity 4)
Cl1 0.007 0.500 0.666 (multiplicity 4)
Cl2 0.008 0.000 0.663 (multiplicity 4)
Cl3 0.145 0.256 0.562 (multiplicity 8)
Cl4 0.147 0.249 0.074 (multiplicity 8)



DFT (PBE) results for a relaxed structure of KMoCl.

Values from the calculation:
The energy relative to the lowest polymorph listed for this composition is 326.9 meV per atom. As for the raw formation energy: 0.77 eV/atom. The size of the total moment is 5.84 μB/f.u.

a = 7.527 Å, b = 7.527 Å, c = 7.527 Å
α = 90.00°, β = 90.00°, γ = 90.00°
Space group F-43m (No. 216)
Inequivalent atoms, fractional coordinates:
K1 0.000 0.000 0.000 (multiplicity 4)
Mo1 0.000 0.000 0.500 (multiplicity 4)
Cl1 0.250 0.250 0.750 (multiplicity 4)



DFT (PBE) results for a relaxed structure of KMoCl2.

Values from the calculation:
The energy relative to the lowest polymorph listed for this composition is 0.0 meV per atom. As for the raw formation energy: -0.43 eV/atom. The size of the total moment is 4.18 μB/f.u.

a = 5.252 Å, b = 5.252 Å, c = 3.828 Å
α = 90.00°, β = 90.00°, γ = 90.00°
Space group P4/mmm (No. 123)
Inequivalent atoms, fractional coordinates:
K1 0.000 0.000 0.000 (multiplicity 1)
Mo1 0.500 0.500 0.500 (multiplicity 1)
Cl1 0.000 0.500 0.500 (multiplicity 2)



DFT (PBE) results for a relaxed structure of K2MoCl6.

Values from the calculation:
As for the raw formation energy: -1.40 eV/atom. The size of the total moment is 2.00 μB/f.u.

a = 7.145 Å, b = 7.538 Å, c = 12.116 Å
α = 90.00°, β = 125.03°, γ = 90.00°
Space group P2_1/c (No. 14)
Inequivalent atoms, fractional coordinates:
K1 0.230 0.068 0.250 (multiplicity 4)
Mo1 0.500 0.000 0.000 (multiplicity 2)
Cl1 0.191 0.180 0.965 (multiplicity 4)
Cl2 0.286 0.735 0.967 (multiplicity 4)
Cl3 0.334 0.010 0.763 (multiplicity 4)



DFT (PBE) results for a relaxed structure of KMoCl.

Values from the calculation:
The energy relative to the lowest polymorph listed for this composition is 510.7 meV per atom. As for the raw formation energy: 0.95 eV/atom. The size of the total moment is 6.00 μB/f.u.

a = 7.833 Å, b = 7.833 Å, c = 7.833 Å
α = 90.00°, β = 90.00°, γ = 90.00°
Space group F-43m (No. 216)
Inequivalent atoms, fractional coordinates:
K1 0.000 0.000 0.000 (multiplicity 4)
Mo1 0.250 0.250 0.750 (multiplicity 4)
Cl1 0.250 0.250 0.250 (multiplicity 4)



DFT (PBE) results for a relaxed structure of K4MoCl.

Values from the calculation:
As for the raw formation energy: 0.63 eV/atom. The size of the total moment is 5.16 μB/f.u.

a = 10.651 Å, b = 10.651 Å, c = 10.651 Å
α = 90.00°, β = 90.00°, γ = 90.00°
Space group F-43m (No. 216)
Inequivalent atoms, fractional coordinates:
K1 0.125 0.125 0.125 (multiplicity 16)
Mo1 0.250 0.250 0.750 (multiplicity 4)
Cl1 0.000 0.000 0.500 (multiplicity 4)



DFT (PBE) results for a relaxed structure of KMoCl2.

Values from the calculation:
The energy relative to the lowest polymorph listed for this composition is 218.3 meV per atom. As for the raw formation energy: -0.21 eV/atom. The size of the total moment is 4.98 μB/f.u.

a = 3.667 Å, b = 4.680 Å, c = 6.065 Å
α = 90.00°, β = 90.00°, γ = 90.00°
Space group Pmmm (No. 47)
Inequivalent atoms, fractional coordinates:
K1 0.000 0.000 0.000 (multiplicity 1)
Mo1 0.000 0.500 0.500 (multiplicity 1)
Cl1 0.500 0.000 0.500 (multiplicity 1)
Cl2 0.500 0.500 0.000 (multiplicity 1)



DFT (PBE) results for a relaxed structure of KMoCl2.

Values from the calculation:
The energy relative to the lowest polymorph listed for this composition is 66.9 meV per atom. As for the raw formation energy: -0.36 eV/atom. The size of the total moment is 3.00 μB/f.u.

a = 3.706 Å, b = 6.636 Å, c = 9.121 Å
α = 90.00°, β = 90.00°, γ = 90.00°
Space group Immm (No. 71)
Inequivalent atoms, fractional coordinates:
K1 0.000 0.000 0.000 (multiplicity 2)
Mo1 0.000 0.000 0.500 (multiplicity 2)
Cl1 0.000 0.500 0.182 (multiplicity 4)



DFT (PBE) results for a relaxed structure of K3MoCl6.

Values from the calculation:
The energy relative to the lowest polymorph listed for this composition is 49.3 meV per atom. As for the raw formation energy: -1.49 eV/atom. The size of the total moment is 3.00 μB/f.u.

a = 10.812 Å, b = 10.812 Å, c = 10.812 Å
α = 90.00°, β = 90.00°, γ = 90.00°
Space group Fm-3m (No. 225)
Inequivalent atoms, fractional coordinates:
K1 0.000 0.000 0.000 (multiplicity 4)
K2 0.250 0.250 0.250 (multiplicity 8)
Mo1 0.000 0.000 0.500 (multiplicity 4)
Cl1 0.000 0.000 0.273 (multiplicity 24)



DFT (PBE) results for a relaxed structure of KMoCl2.

Values from the calculation:
The energy relative to the lowest polymorph listed for this composition is 199.3 meV per atom. As for the raw formation energy: -0.23 eV/atom. The size of the total moment is 4.94 μB/f.u.

a = 8.025 Å, b = 7.787 Å, c = 3.885 Å
α = 90.00°, β = 113.84°, γ = 90.00°
Space group C2/m (No. 12)
Inequivalent atoms, fractional coordinates:
K1 0.000 0.000 0.000 (multiplicity 2)
Mo1 0.000 0.500 0.000 (multiplicity 2)
Cl1 0.250 0.250 0.500 (multiplicity 4)



DFT (PBE) results for a relaxed structure of K2MoCl.

Values from the calculation:
The energy relative to the lowest polymorph listed for this composition is 32.1 meV per atom. As for the raw formation energy: 0.25 eV/atom. The size of the total moment is 4.68 μB/f.u.

a = 19.479 Å, b = 3.608 Å, c = 3.681 Å
α = 90.00°, β = 90.00°, γ = 90.00°
Space group Cm (No. 8)
Inequivalent atoms, fractional coordinates:
K1 0.000 0.000 0.000 (multiplicity 2)
K2 0.197 0.000 0.001 (multiplicity 2)
Mo1 0.357 0.000 0.499 (multiplicity 2)
Cl1 0.101 0.500 0.501 (multiplicity 2)



DFT (PBE) results for a relaxed structure of K2MoCl.

Values from the calculation:
The energy relative to the lowest polymorph listed for this composition is 47.2 meV per atom. As for the raw formation energy: 0.27 eV/atom. The size of the total moment is 4.80 μB/f.u.

a = 6.965 Å, b = 3.975 Å, c = 10.318 Å
α = 90.00°, β = 102.36°, γ = 90.00°
Space group C2/m (No. 12)
Inequivalent atoms, fractional coordinates:
K1 0.233 0.000 0.203 (multiplicity 4)
Mo1 0.000 0.000 0.500 (multiplicity 2)
Cl1 0.000 0.500 0.000 (multiplicity 2)



DFT (PBE) results for a relaxed structure of K2MoCl5.

Values from the calculation:
As for the raw formation energy: -1.39 eV/atom. The size of the total moment is 3.00 μB/f.u.

a = 11.359 Å, b = 10.861 Å, c = 4.969 Å
α = 90.00°, β = 112.22°, γ = 90.00°
Space group Cm (No. 8)
Inequivalent atoms, fractional coordinates:
K1 0.000 0.219 0.000 (multiplicity 4)
Mo1 0.216 0.000 0.683 (multiplicity 2)
Cl1 0.198 0.000 0.167 (multiplicity 2)
Cl2 0.208 0.227 0.677 (multiplicity 4)
Cl3 0.446 0.000 0.880 (multiplicity 2)
Cl4 0.479 0.500 0.478 (multiplicity 2)



DFT (PBE) results for a relaxed structure of K2MoCl.

Values from the calculation:
The energy relative to the lowest polymorph listed for this composition is 209.7 meV per atom. As for the raw formation energy: 0.43 eV/atom. The size of the total moment is 5.03 μB/f.u.

a = 4.577 Å, b = 7.703 Å, c = 10.032 Å
α = 90.00°, β = 90.00°, γ = 90.00°
Space group Immm (No. 71)
Inequivalent atoms, fractional coordinates:
K1 0.000 0.000 0.199 (multiplicity 4)
Mo1 0.000 0.500 0.000 (multiplicity 2)
Cl1 0.000 0.500 0.500 (multiplicity 2)



DFT (PBE) results for a relaxed structure of K2MoCl.

Values from the calculation:
The energy relative to the lowest polymorph listed for this composition is 259.8 meV per atom. As for the raw formation energy: 0.48 eV/atom. The size of the total moment is 5.09 μB/f.u.

a = 4.788 Å, b = 4.788 Å, c = 13.702 Å
α = 90.00°, β = 90.00°, γ = 90.00°
Space group I-4m2 (No. 119)
Inequivalent atoms, fractional coordinates:
K1 0.000 0.000 0.000 (multiplicity 2)
K2 0.000 0.500 0.250 (multiplicity 2)
Mo1 0.000 0.500 0.750 (multiplicity 2)
Cl1 0.000 0.000 0.500 (multiplicity 2)



DFT (PBE) results for a relaxed structure of K2MoCl6.

Values from the calculation:
As for the raw formation energy: -1.39 eV/atom. The size of the total moment is 2.00 μB/f.u.

a = 10.033 Å, b = 10.033 Å, c = 10.033 Å
α = 90.00°, β = 90.00°, γ = 90.00°
Space group Fm-3m (No. 225)
Inequivalent atoms, fractional coordinates:
K1 0.250 0.250 0.250 (multiplicity 8)
Mo1 0.000 0.000 0.000 (multiplicity 4)
Cl1 0.000 0.000 0.239 (multiplicity 24)



DFT (PBE) results for a relaxed structure of KMoCl2.

Values from the calculation:
The energy relative to the lowest polymorph listed for this composition is 121.4 meV per atom. As for the raw formation energy: -0.31 eV/atom. The size of the total moment is 4.94 μB/f.u.

a = 14.181 Å, b = 3.935 Å, c = 4.082 Å
α = 90.00°, β = 90.06°, γ = 90.00°
Space group Cm (No. 8)
Inequivalent atoms, fractional coordinates:
K1 0.000 0.000 0.000 (multiplicity 2)
Mo1 0.231 0.000 0.504 (multiplicity 2)
Cl1 0.208 0.500 0.003 (multiplicity 2)
Cl2 0.418 0.000 0.500 (multiplicity 2)



DFT (PBE) results for a relaxed structure of KMoCl2.

Values from the calculation:
The energy relative to the lowest polymorph listed for this composition is 235.9 meV per atom. As for the raw formation energy: -0.19 eV/atom. The size of the total moment is 4.98 μB/f.u.

a = 4.098 Å, b = 4.098 Å, c = 14.585 Å
α = 90.00°, β = 90.00°, γ = 90.00°
Space group I-4m2 (No. 119)
Inequivalent atoms, fractional coordinates:
K1 0.000 0.000 0.000 (multiplicity 2)
Mo1 0.000 0.500 0.750 (multiplicity 2)
Cl1 0.000 0.000 0.500 (multiplicity 2)
Cl2 0.000 0.500 0.250 (multiplicity 2)